No. 1
La8Pr2Th: optimized geometry, PBE.

Results
The calculation puts the final energy at -4.84 eV per atom. For the density of states at the Fermi level, the calculation gives 19.78 states/eV/f.u. Its calculated formation energy is 28.1 kJ per mole of atoms.

Lattice parameters (Å, degrees): 7.5326 8.8832 7.5326 107.52 73.78 72.48
Closest atoms and distances in Å follow each position.
Element x y z (fractional)
1 La 0.7646 0.2463 0.7359  1 La 3.21, 1 Pr 3.48
2 La 0.7359 0.7537 0.7646  1 La 3.21, 1 Pr 3.48
3 La 0.2976 0.1279 0.7024  2 La 3.20-3.41, 1 Pr 3.30, 1 Th 3.41
4 La 0.7024 0.8721 0.2976  2 La 3.20-3.41, 1 Pr 3.30, 1 Th 3.41
5 La 0.2641 0.2463 0.2354  1 La 3.21, 1 Pr 3.48
6 La 0.2354 0.7537 0.2641  1 La 3.21, 1 Pr 3.48
7 La 0.3971 0.7039 0.6029  1 Pr 3.01, 3 La 3.14-3.21, 1 Th 3.22
8 La 0.6029 0.2961 0.3971  1 Pr 3.01, 3 La 3.14-3.21, 1 Th 3.22
9 Pr 0.1681 0.5479 0.8319  2 La 3.01-3.30
10 Pr 0.8319 0.4521 0.1681  2 La 3.01-3.30
11 Th 0.0000 0.0000 0.0000  4 La 3.22-3.41, 2 Pr 3.51

***

No. 2
La4Pr5Th: optimized geometry, PBE.

Results
The calculation puts the final energy at -5.08 eV per atom. For the density of states at the Fermi level, the calculation gives 19.16 states/eV/f.u. Its calculated formation energy is 2.5 kJ per mole of atoms.

Lattice parameters (Å, degrees): 3.6943 7.3952 13.4497 97.74 97.89 90.00
Closest atoms and distances in Å follow each position.
Element x y z (fractional)
1 La 0.2991 0.8991 0.5981  6 La 3.68-3.76, 6 Pr 3.69-3.77
2 La 0.9035 0.7125 0.8070  6 Pr 3.53-3.86, 2 Th 3.61, 4 La 3.69-3.76
3 La 0.7009 0.1009 0.4019  6 La 3.68-3.76, 6 Pr 3.69-3.77
4 La 0.0965 0.2875 0.1930  6 Pr 3.53-3.86, 2 Th 3.61, 4 La 3.69-3.76
5 Pr 0.6996 0.5993 0.3991  6 La 3.69-3.81, 6 Pr 3.69-3.82
6 Pr 0.9036 0.1903 0.8073  4 La 3.53-3.86, 2 Th 3.60, 6 Pr 3.69-3.82
7 Pr 0.0964 0.8097 0.1927  4 La 3.53-3.86, 2 Th 3.60, 6 Pr 3.69-3.82
8 Pr 0.5000 0.5000 0.0000  4 La 3.69, 6 Pr 3.69, 2 Th 3.70
9 Pr 0.3004 0.4007 0.6009  6 La 3.69-3.81, 6 Pr 3.69-3.82
10 Th 0.5000 0.0000 0.0000  6 Pr 3.60-3.70, 4 La 3.61, 2 Th 3.69

***

No. 3
La4Pr5Th: optimized geometry, PBE.

Results
The calculation puts the final energy at -5.08 eV per atom. For the density of states at the Fermi level, the calculation gives 19.11 states/eV/f.u. Its calculated formation energy is 2.6 kJ per mole of atoms.

Lattice parameters (Å, degrees): 3.6890 3.6890 26.6035 90.00 90.00 90.00
Closest atoms and distances in Å follow each position.
Element x y z (fractional)
1 La 0.0000 0.0000 0.1989  4 La 3.69, 8 Pr 3.73-3.84
2 La 0.0000 0.0000 0.3996  4 La 3.69, 8 Pr 3.73
3 La 0.0000 0.0000 0.6004  4 La 3.69, 8 Pr 3.73
4 La 0.0000 0.0000 0.8011  4 La 3.69, 8 Pr 3.73-3.84
5 Pr 0.5000 0.5000 0.0928  4 Th 3.59, 4 Pr 3.69, 4 La 3.84
6 Pr 0.5000 0.5000 0.2991  4 Pr 3.69, 8 La 3.73
7 Pr 0.5000 0.5000 0.5000  4 Pr 3.69, 8 La 3.73
8 Pr 0.5000 0.5000 0.7009  4 Pr 3.69, 8 La 3.73
9 Pr 0.5000 0.5000 0.9072  4 Th 3.59, 4 Pr 3.69, 4 La 3.84
10 Th 0.0000 0.0000 0.0000  8 Pr 3.59, 4 Th 3.69